VASP calculation (PBE) on a relaxed structure of RhAu2F2.

POSCAR file:
```
RhAu2F2
1.0
7.2441 0.0000 0.0000
0.0000 7.2441 0.0000
0.0000 0.0000 2.8018
Rh Au F
2 4 4
Direct
0.0000 0.0000 0.0000
0.5000 0.5000 0.0000
0.1709 0.3291 0.5000
0.3291 0.8291 0.5000
0.6709 0.1709 0.5000
0.8291 0.6709 0.5000
0.1267 0.6267 0.0000
0.3733 0.1267 0.0000
0.6267 0.8733 0.0000
0.8733 0.3733 0.0000
```

M_tot	3.09	μB per cell
E_tot	-34.96	eV for the cell shown
N(E_F)	8.732	states/eV per cell